Entry 1:
This record from the Open Quantum Materials Database describes a geometry-optimized HfTe2Os structure. The functional is GGA-PBE.

Symmetry ... F-43m (216)
Theoretical density ... 12.2 g cm⁻³
Total DFT energy (no corrections) ... -25.17 eV for the cell shown

a = 4.938 Å, b = 4.938 Å, c = 4.938 Å
α = 60.00°, β = 60.00°, γ = 60.00°
Last column: magnetic moment on the atom in μB.
Element x y z (fractional)
Os: 0.750 0.750 0.750  0.45
Te: 0.250 0.250 0.250  0.06
Hf: 0.500 0.500 0.500  -0.01
Te: 0.000 0.000 0.000  0.01

=====

Entry 2:
This record from the Open Quantum Materials Database describes a geometry-optimized K3NaAg2P2 structure. The functional is GGA-PBE.

Symmetry ... Pm (6)
Excess energy over the best structure of this formula in the dataset ... 0.0022 eV per atom
Theoretical density ... 3.2 g cm⁻³
Total DFT energy (no corrections) ... -23.73 eV for the cell shown

a = 6.074 Å, b = 5.900 Å, c = 6.166 Å
α = 90.00°, β = 103.09°, γ = 90.00°
Element x y z (fractional)
P: 0.258 0.500 0.232
K: 0.033 0.500 0.689
K: 0.313 0.000 0.971
P: 0.757 0.000 0.764
Ag: 0.502 0.251 0.504
K: 0.962 0.000 0.308
Na: 0.674 0.500 0.029
Ag: 0.502 0.749 0.504

=====

Entry 3:
This record from the Open Quantum Materials Database describes a geometry-optimized LiPmNO structure. The functional is GGA-PBE.

Symmetry ... P4/nmm (129)
Excess energy over the best structure of this formula in the dataset ... 0.1792 eV per atom
Theoretical density ... 5.8 g cm⁻³
Total DFT energy (no corrections) ... -50.80 eV for the cell shown

a = 3.774 Å, b = 3.774 Å, c = 7.285 Å
α = 90.00°, β = 90.00°, γ = 90.00°
Element x y z (fractional)
Pm: 0.750 0.750 0.828
N: 0.750 0.750 0.377
O: 0.250 0.750 0.000
Li: 0.750 0.250 0.500
N: 0.250 0.250 0.623
Pm: 0.250 0.250 0.172
O: 0.750 0.250 0.000
Li: 0.250 0.750 0.500